The following is a PBE calculation of crystalline PrNiGe at its relaxed geometry, from OQMD.

Lattice parameters (Å, degrees): 7.347 4.404 7.246 90.00 90.00 90.00
Sites, in units of the cell vectors:
1 Pr 0.019 0.250 0.196
2 Pr 0.481 0.750 0.696
3 Pr 0.519 0.250 0.304
4 Pr 0.981 0.750 0.804
5 Ni 0.178 0.750 0.419
6 Ni 0.322 0.250 0.919
7 Ni 0.678 0.750 0.081
8 Ni 0.822 0.250 0.581
9 Ge 0.187 0.250 0.593
10 Ge 0.313 0.750 0.093
11 Ge 0.687 0.250 0.907
12 Ge 0.813 0.750 0.407

Output
The value obtained for the total energy is -5.667 eV/atom. The value obtained for the calculated volume is 234.4 Å³ per cell. The space group is Pnma, No. 62.

***

The following is a PBE calculation of crystalline Mg3AlPt2 at its relaxed geometry, from OQMD.

Lattice parameters (Å, degrees): 8.404 8.404 8.404 60.00 60.00 60.00
Sites, in units of the cell vectors:
1 Mg 0.072 0.072 0.678
2 Mg 0.072 0.678 0.072
3 Mg 0.072 0.678 0.678
4 Mg 0.322 0.322 0.928
5 Mg 0.322 0.928 0.322
6 Mg 0.322 0.928 0.928
7 Mg 0.678 0.072 0.072
8 Mg 0.678 0.072 0.678
9 Mg 0.678 0.678 0.072
10 Mg 0.928 0.322 0.322
11 Mg 0.928 0.322 0.928
12 Mg 0.928 0.928 0.322
13 Al 0.000 0.500 0.500
14 Al 0.500 0.000 0.500
15 Al 0.500 0.500 0.000
16 Al 0.500 0.500 0.500
17 Pt 0.284 0.284 0.284
18 Pt 0.284 0.284 0.648
19 Pt 0.284 0.648 0.284
20 Pt 0.352 0.716 0.716
21 Pt 0.648 0.284 0.284
22 Pt 0.716 0.352 0.716
23 Pt 0.716 0.716 0.352
24 Pt 0.716 0.716 0.716

Output
The value obtained for the total energy is -4.225 eV/atom. The value obtained for the calculated volume is 419.7 Å³ per cell. The space group is Fd-3m, No. 227.

***

The following is a PBE calculation of crystalline LaBeCoPb at its relaxed geometry, from OQMD.

Lattice parameters (Å, degrees): 4.931 4.931 4.931 60.00 60.00 60.00
Sites, in units of the cell vectors:
1 La 0.000 0.000 0.000
2 Be 0.500 0.500 0.500
3 Co 0.750 0.750 0.750
4 Pb 0.250 0.250 0.250

Output
The value obtained for the calculated volume is 84.8 Å³ per cell. Its polymorph energy (0 for the lowest one) is 278 meV per atom. The space group is F-43m, No. 216.

***

The following is a PBE calculation of crystalline LiAcPa at its relaxed geometry, from OQMD.

Lattice parameters (Å, degrees): 5.185 5.185 5.185 60.00 60.00 60.00
Sites, in units of the cell vectors:
1 Li 0.000 0.000 0.000
2 Ac 0.500 0.500 0.500
3 Pa 0.750 0.750 0.750

Output
The value obtained for the calculated volume is 98.6 Å³ per cell. Its polymorph energy (0 for the lowest one) is 0 meV per atom. The space group is F-43m, No. 216.

***

The following is a PBE calculation of crystalline NaGd at its relaxed geometry, from OQMD.

Lattice parameters (Å, degrees): 3.624 3.624 10.223 90.00 90.00 120.00
Sites, in units of the cell vectors:
1 Na 0.333 0.667 0.250
2 Na 0.667 0.333 0.750
3 Gd 0.000 0.000 0.000
4 Gd 0.000 0.000 0.500

Output
The value obtained for the calculated volume is 116.3 Å³ per cell. Its polymorph energy (0 for the lowest one) is 178 meV per atom. The space group is P6_3/mmc, No. 194.

***

The following is a PBE calculation of crystalline HoZnGe at its relaxed geometry, from OQMD.

Lattice parameters (Å, degrees): 4.485 4.485 4.485 60.00 60.00 60.00
Sites, in units of the cell vectors:
1 Ho 0.000 0.000 0.000
2 Zn 0.750 0.750 0.750
3 Ge 0.500 0.500 0.500

Output
The value obtained for the total energy is -3.822 eV/atom. The value obtained for the calculated volume is 63.8 Å³ per cell. The space group is F-43m, No. 216.

***

The following is a PBE calculation of crystalline Lu2Nb4Si3N3 at its relaxed geometry, from OQMD.

Lattice parameters (Å, degrees): 5.523 5.523 13.600 102.24 102.24 60.13
Sites, in units of the cell vectors:
1 Lu 0.039 0.878 0.613
2 Lu 0.122 0.961 0.887
3 Lu 0.878 0.039 0.113
4 Lu 0.961 0.122 0.387
5 Nb 0.198 0.365 0.084
6 Nb 0.306 0.466 0.415
7 Nb 0.365 0.198 0.584
8 Nb 0.466 0.306 0.915
9 Nb 0.534 0.694 0.085
10 Nb 0.635 0.802 0.416
11 Nb 0.694 0.534 0.585
12 Nb 0.802 0.635 0.916
13 Si 0.083 0.388 0.750
14 Si 0.388 0.083 0.250
15 Si 0.436 0.564 0.250
16 Si 0.564 0.436 0.750
17 Si 0.612 0.917 0.750
18 Si 0.917 0.612 0.250
19 N 0.000 0.500 0.500
20 N 0.156 0.690 0.000
21 N 0.310 0.844 0.500
22 N 0.500 0.000 0.000
23 N 0.690 0.156 0.500
24 N 0.844 0.310 0.000

Output
The value obtained for the total energy is -8.443 eV/atom. The value obtained for the calculated volume is 348.8 Å³ per cell. The space group is C2/c, No. 15.

***

The following is a PBE calculation of crystalline Sm4Gd4B3 at its relaxed geometry, from OQMD.

Lattice parameters (Å, degrees): 3.784 5.179 14.947 84.53 82.93 81.25
Sites, in units of the cell vectors:
1 Sm 0.121 0.230 0.331
2 Sm 0.282 0.210 0.814
3 Sm 0.718 0.790 0.186
4 Sm 0.879 0.770 0.669
5 Gd 0.302 0.311 0.072
6 Gd 0.408 0.260 0.570
7 Gd 0.592 0.740 0.430
8 Gd 0.698 0.689 0.928
9 B 0.000 0.000 0.500
10 B 0.091 0.867 0.027
11 B 0.909 0.133 0.973

Output
The value obtained for the total energy is -5.143 eV/atom. The value obtained for the calculated volume is 286.5 Å³ per cell. The space group is P-1, No. 2.

***

The following is a PBE calculation of crystalline Nb2CuNi at its relaxed geometry, from OQMD.

Lattice parameters (Å, degrees): 4.395 4.395 4.395 60.00 60.00 60.00
Sites, in units of the cell vectors:
1 Nb 0.000 0.000 0.000
2 Nb 0.250 0.250 0.250
3 Cu 0.750 0.750 0.750
4 Ni 0.500 0.500 0.500

Output
The value obtained for the formation energy is 0.278 eV per atom. The value obtained for the calculated volume is 60.0 Å³ per cell. The space group is F-43m, No. 216.

***

The following is a PBE calculation of crystalline P2W8C3N3 at its relaxed geometry, from OQMD.

Lattice parameters (Å, degrees): 3.128 3.128 21.826 90.00 90.00 120.00
Sites, in units of the cell vectors:
1 P 0.333 0.667 0.252
2 P 0.667 0.333 0.748
3 W 0.000 0.000 0.171
4 W 0.000 0.000 0.326
5 W 0.000 0.000 0.674
6 W 0.000 0.000 0.829
7 W 0.333 0.667 0.055
8 W 0.333 0.667 0.450
9 W 0.667 0.333 0.550
10 W 0.667 0.333 0.945
11 C 0.000 0.000 0.000
12 C 0.333 0.667 0.884
13 C 0.667 0.333 0.116
14 N 0.000 0.000 0.500
15 N 0.333 0.667 0.607
16 N 0.667 0.333 0.393

Output
The value obtained for the total energy is -10.245 eV/atom. The value obtained for the calculated volume is 184.9 Å³ per cell. The space group is P-3m1, No. 164.

***

The following is a PBE calculation of crystalline TaAlIr at its relaxed geometry, from OQMD.

Lattice parameters (Å, degrees): 4.275 4.275 4.275 60.00 60.00 60.00
Sites, in units of the cell vectors:
1 Ta 0.000 0.000 0.000
2 Al 0.500 0.500 0.500
3 Ir 0.750 0.750 0.750

Output
The value obtained for the total energy is -8.682 eV/atom. The value obtained for the calculated volume is 55.3 Å³ per cell. The space group is F-43m, No. 216.

***

The following is a PBE calculation of crystalline GdHoSi2Ni2C at its relaxed geometry, from OQMD.

Lattice parameters (Å, degrees): 5.631 5.631 6.815 125.87 125.87 40.57
Sites, in units of the cell vectors:
1 Gd 0.000 0.000 0.000
2 Ho 0.873 0.873 0.334
3 Si 0.285 0.285 0.563
4 Si 0.587 0.587 0.769
5 Ni 0.232 0.232 0.858
6 Ni 0.640 0.640 0.473
7 C 0.433 0.433 0.169

Output
The value obtained for the total energy is -6.394 eV/atom. The value obtained for the calculated volume is 109.8 Å³ per cell. The space group is Cm, No. 8.

***

The following is a PBE calculation of crystalline Na2AgH6Ir at its relaxed geometry, from OQMD.

Lattice parameters (Å, degrees): 5.189 5.189 5.189 60.00 60.00 60.00
Sites, in units of the cell vectors:
1 Na 0.250 0.250 0.250
2 Na 0.750 0.750 0.750
3 Ag 0.000 0.000 0.000
4 H 0.269 0.269 0.731
5 H 0.269 0.731 0.269
6 H 0.269 0.731 0.731
7 H 0.731 0.269 0.269
8 H 0.731 0.269 0.731
9 H 0.731 0.731 0.269
10 Ir 0.500 0.500 0.500

Output
The value obtained for the total energy is -3.675 eV/atom. The value obtained for the calculated volume is 98.8 Å³ per cell. The space group is Fm-3m, No. 225.

***

The following is a PBE calculation of crystalline GdBiN2O at its relaxed geometry, from OQMD.

Lattice parameters (Å, degrees): 7.842 8.555 8.675 87.09 89.22 88.18
Sites, in units of the cell vectors:
1 Gd 0.000 0.000 0.000
2 Gd 0.012 0.539 0.077
3 Gd 0.064 0.518 0.487
4 Gd 0.076 0.056 0.565
5 Gd 0.486 0.522 0.069
6 Gd 0.520 0.967 0.001
7 Gd 0.555 0.089 0.563
8 Gd 0.590 0.534 0.496
9 Bi 0.288 0.297 0.815
10 Bi 0.291 0.799 0.316
11 Bi 0.294 0.239 0.266
12 Bi 0.294 0.745 0.759
13 Bi 0.782 0.312 0.806
14 Bi 0.782 0.818 0.298
15 Bi 0.784 0.258 0.249
16 Bi 0.788 0.760 0.749
17 N 0.029 0.807 0.403
18 N 0.036 0.197 0.799
19 N 0.040 0.859 0.766
20 N 0.047 0.248 0.162
21 N 0.235 0.531 0.895
22 N 0.318 0.650 0.539
23 N 0.333 0.023 0.401
24 N 0.411 0.232 0.032
25 N 0.532 0.333 0.693
26 N 0.535 0.335 0.332
27 N 0.540 0.722 0.232
28 N 0.544 0.723 0.871
29 N 0.664 0.824 0.533
30 N 0.742 0.034 0.164
31 N 0.757 0.406 0.026
32 N 0.841 0.525 0.669
33 O 0.211 0.293 0.516
34 O 0.232 0.534 0.243
35 O 0.246 0.878 0.073
36 O 0.349 0.015 0.749
37 O 0.727 0.041 0.816
38 O 0.829 0.178 0.492
39 O 0.843 0.522 0.322
40 O 0.865 0.764 0.050

Output
The value obtained for the total energy is -6.706 eV/atom. The value obtained for the calculated volume is 580.9 Å³ per cell. The space group is P1, No. 1.

***

The following is a PBE calculation of crystalline ZrTcBi2 at its relaxed geometry, from OQMD.

Lattice parameters (Å, degrees): 5.042 5.042 5.042 60.00 60.00 60.00
Sites, in units of the cell vectors:
1 Zr 0.000 0.000 0.000
2 Tc 0.250 0.250 0.250
3 Bi 0.500 0.500 0.500
4 Bi 0.750 0.750 0.750

Output
The value obtained for the total energy is -6.390 eV/atom. The value obtained for the calculated volume is 90.6 Å³ per cell. The space group is F-43m, No. 216.

***

The following is a PBE calculation of crystalline TlRe3Bi5 at its relaxed geometry, from OQMD.

Lattice parameters (Å, degrees): 5.643 5.643 8.605 90.00 90.00 120.00
Sites, in units of the cell vectors:
1 Tl 0.000 0.000 0.000
2 Re 0.000 0.500 0.500
3 Re 0.500 0.000 0.500
4 Re 0.500 0.500 0.500
5 Bi 0.000 0.000 0.500
6 Bi 0.333 0.667 0.214
7 Bi 0.333 0.667 0.786
8 Bi 0.667 0.333 0.214
9 Bi 0.667 0.333 0.786

Output
The value obtained for the total energy is -6.066 eV/atom. The value obtained for the calculated volume is 237.3 Å³ per cell. The space group is P6/mmm, No. 191.

***

The following is a PBE calculation of crystalline BeZnCuRe at its relaxed geometry, from OQMD.

Lattice parameters (Å, degrees): 4.124 4.124 4.124 60.00 60.00 60.00
Sites, in units of the cell vectors:
1 Be 0.000 0.000 0.000
2 Zn 0.250 0.250 0.250
3 Cu 0.500 0.500 0.500
4 Re 0.750 0.750 0.750

Output
The value obtained for the calculated volume is 49.6 Å³ per cell. Its polymorph energy (0 for the lowest one) is 18 meV per atom. The space group is F-43m, No. 216.

***

The following is a PBE calculation of crystalline ScTc2W at its relaxed geometry, from OQMD.

Lattice parameters (Å, degrees): 4.468 4.468 4.468 60.00 60.00 60.00
Sites, in units of the cell vectors:
1 Sc 0.000 0.000 0.000
2 Tc 0.250 0.250 0.250
3 Tc 0.750 0.750 0.750
4 W 0.500 0.500 0.500

Output
The value obtained for the formation energy is -0.225 eV per atom. The value obtained for the calculated volume is 63.1 Å³ per cell. Its polymorph energy (0 for the lowest one) is 0 meV per atom. The space group is Fm-3m, No. 225.

***

The following is a PBE calculation of crystalline Lu2FeAg at its relaxed geometry, from OQMD.

Lattice parameters (Å, degrees): 4.808 4.808 4.808 60.00 60.00 60.00
Sites, in units of the cell vectors:
1 Lu 0.000 0.000 0.000
2 Lu 0.250 0.250 0.250
3 Fe 0.500 0.500 0.500
4 Ag 0.750 0.750 0.750

Output
The value obtained for the formation energy is 0.229 eV per atom. The value obtained for the calculated volume is 78.6 Å³ per cell. The space group is F-43m, No. 216.

***

The following is a PBE calculation of crystalline BaBeAsIr at its relaxed geometry, from OQMD.

Lattice parameters (Å, degrees): 4.802 4.802 4.802 60.00 60.00 60.00
Sites, in units of the cell vectors:
1 Ba 0.000 0.000 0.000
2 Be 0.750 0.750 0.750
3 As 0.250 0.250 0.250
4 Ir 0.500 0.500 0.500

Output
The value obtained for the calculated volume is 78.3 Å³ per cell. Its polymorph energy (0 for the lowest one) is 0 meV per atom. The space group is F-43m, No. 216.

***

The following is a PBE calculation of crystalline NdTmB4 at its relaxed geometry, from OQMD.

Lattice parameters (Å, degrees): 5.162 5.162 5.162 142.70 112.56 79.68
Sites, in units of the cell vectors:
1 Nd 0.000 0.000 0.000
2 Tm 0.500 0.500 0.000
3 B 0.086 0.752 0.334
4 B 0.419 0.752 0.666
5 B 0.581 0.248 0.334
6 B 0.914 0.248 0.666

Output
The value obtained for the calculated volume is 75.0 Å³ per cell. Its polymorph energy (0 for the lowest one) is 40 meV per atom. The space group is Immm, No. 71.

***

The following is a PBE calculation of crystalline TaAlO4 at its relaxed geometry, from OQMD.

Lattice parameters (Å, degrees): 6.065 6.065 4.763 112.72 112.72 112.98
Sites, in units of the cell vectors:
1 Ta 0.126 0.874 0.750
2 Ta 0.874 0.126 0.250
3 Al 0.380 0.620 0.250
4 Al 0.620 0.380 0.750
5 O 0.114 0.524 0.346
6 O 0.180 0.268 0.785
7 O 0.268 0.180 0.285
8 O 0.476 0.886 0.154
9 O 0.524 0.114 0.846
10 O 0.732 0.820 0.715
11 O 0.820 0.732 0.215
12 O 0.886 0.476 0.654

Output
The value obtained for the total energy is -8.760 eV/atom. The value obtained for the calculated volume is 115.2 Å³ per cell. The space group is C2/c, No. 15.